Record 1
Density functional theory data (GGA-PBEsol) for a relaxed structure of CsCo2RhPb.

The structure in POSCAR format:
```
CsCo2RhPb
1.0
4.785 0.000 0.000
0.000 4.785 0.000
0.000 0.000 6.335
Cs Co Rh Pb
1 2 1 1
direct
0.000 0.000 0.000
0.000 0.500 0.500
0.500 0.000 0.500
0.500 0.500 0.000
0.000 0.000 0.500
```

Summary:
For the energy relative to the elements, the calculation gives 2035.2 meV per atom.


Record 2
Density functional theory data (GGA-PBEsol) for a relaxed structure of CsCoPt2.

The structure in POSCAR format:
```
CsCoPt2
1.0
0.000 3.342 3.342
3.342 0.000 3.342
3.342 3.342 0.000
Cs Co Pt
1 1 2
direct
0.000 0.000 0.000
0.500 0.500 0.500
0.250 0.250 0.250
0.750 0.750 0.750
```

Summary:
For the energy relative to the elements, the calculation gives 1195.6 meV per atom.


Record 3
Density functional theory data (GGA-PBEsol) for a relaxed structure of CsCo3Re.

The structure in POSCAR format:
```
CsCo3Re
1.0
4.481 0.000 0.000
0.000 4.481 0.000
0.000 0.000 4.481
Cs Co Re
1 3 1
direct
0.000 0.000 0.000
0.000 0.000 0.500
0.000 0.500 0.000
0.500 0.000 0.000
0.500 0.500 0.500
```

Summary:
For the energy relative to the elements, the calculation gives 3102.0 meV per atom. As for the energy relative to the lowest polymorph listed for this composition: 1.548 eV per atom.


Record 4
Density functional theory data (GGA-PBEsol) for a relaxed structure of CsCo3Re.

The structure in POSCAR format:
```
CsCo3Re
1.0
4.581 0.000 0.000
0.000 4.581 0.000
0.000 0.000 4.581
Cs Co Re
1 3 1
direct
0.000 0.000 0.000
0.000 0.500 0.500
0.500 0.000 0.500
0.500 0.500 0.000
0.500 0.500 0.500
```

Summary:
For the energy relative to the elements, the calculation gives 1554.0 meV per atom. As for the energy relative to the lowest polymorph listed for this composition: 0.000 eV per atom.


no.,Fermi-level density of states (states/eV/f.u.)
1,12.8
2,3.7
3,7.3
4,8.2